Crystalline TiMnBi at its relaxed geometry. Source: the Alexandria database, functional PBE.

abc: 3.3228 3.3228 11.8447
angles: 98.06 98.06 90.00
Fractional positions:
Mn: 0.2795 0.2795 0.5591
Mn: 0.7205 0.7205 0.4409
Ti: 0.1708 0.1708 0.3417
Ti: 0.8292 0.8292 0.6583
Bi: 0.5845 0.5845 0.1689
Bi: 0.4155 0.4155 0.8311

Summary:
- formation energy from the elements (eV/atom) = -0.024
- space-group type = I4/mmm
- M_tot (μB/f.u.) = 1.8
- total DFT energy (no corrections) (eV/cell) = -42.03
- D(E_F) (states/eV/f.u.) = 2.90

=====

Crystalline Ti6MnBi3 at its relaxed geometry. Source: the Alexandria database, functional PBE.

abc: 7.3446 6.2176 6.2176
angles: 58.58 67.49 67.49
Fractional positions:
Ti: 0.3901 0.1403 0.6605
Ti: 0.6099 0.3395 0.8597
Ti: 0.6099 0.8597 0.3395
Ti: 0.3901 0.6605 0.1403
Ti: 0.2181 0.7098 0.7098
Ti: 0.7819 0.2902 0.2902
Mn: 0.5000 0.5000 0.5000
Bi: 0.2224 0.2246 0.2246
Bi: 0.7776 0.7754 0.7754
Bi: 0.0000 0.0000 0.0000

Summary:
- formation energy from the elements (eV/atom) = 0.103
- space-group type = C2/m
- M_tot (μB/f.u.) = 0.0
- total DFT energy (no corrections) (eV/cell) = -67.15
- D(E_F) (states/eV/f.u.) = 9.21
- offset from the most stable computed form (meV/atom) = 150

=====

Crystalline TiMnBi3 at its relaxed geometry. Source: the Alexandria database, functional PBE.

abc: 5.2317 5.2317 5.2317
angles: 90.00 90.00 90.00
Fractional positions:
Mn: 0.0000 0.0000 0.0000
Bi: 0.0000 0.5000 0.0000
Bi: 0.0000 0.0000 0.5000
Bi: 0.5000 0.0000 0.0000
Ti: 0.5000 0.5000 0.5000

Summary:
- formation energy from the elements (eV/atom) = 0.751
- space-group type = Pm-3m
- M_tot (μB/f.u.) = 2.9
- total DFT energy (no corrections) (eV/cell) = -24.95
- D(E_F) (states/eV/f.u.) = 8.98
- offset from the most stable computed form (meV/atom) = 0

=====

Crystalline Ti2Mn2Bi at its relaxed geometry. Source: the Alexandria database, functional PBE.

abc: 7.1334 7.1334 3.3363
angles: 90.00 90.00 90.00
Fractional positions:
Mn: 0.3777 0.8777 0.0000
Mn: 0.8777 0.6223 0.0000
Mn: 0.6223 0.1223 0.0000
Mn: 0.1223 0.3777 0.0000
Bi: 0.0000 0.0000 0.0000
Bi: 0.5000 0.5000 0.0000
Ti: 0.1682 0.6682 0.5000
Ti: 0.6682 0.8318 0.5000
Ti: 0.8318 0.3318 0.5000
Ti: 0.3318 0.1682 0.5000

Summary:
- formation energy from the elements (eV/atom) = 0.084
- space-group type = P4/mbm
- M_tot (μB/f.u.) = 4.4
- total DFT energy (no corrections) (eV/cell) = -75.18
- D(E_F) (states/eV/f.u.) = 4.78

=====

Crystalline Ti4MnBi2 at its relaxed geometry. Source: the Alexandria database, functional PBE.

abc: 7.8581 7.8581 7.8581
angles: 95.87 95.87 142.69
Fractional positions:
Ti: 0.6917 0.5800 0.2718
Ti: 0.3083 0.4200 0.7282
Ti: 0.5800 0.3083 0.8883
Ti: 0.0800 0.1917 0.2718
Ti: 0.8083 0.0800 0.8883
Ti: 0.4200 0.6917 0.1117
Ti: 0.9200 0.8083 0.7282
Ti: 0.1917 0.9200 0.1117
Mn: 0.2500 0.2500 0.0000
Mn: 0.7500 0.7500 0.0000
Bi: 0.1388 0.6388 0.7776
Bi: 0.3612 0.1388 0.5000
Bi: 0.8612 0.3612 0.2224
Bi: 0.6388 0.8612 0.5000

Summary:
- formation energy from the elements (eV/atom) = -0.274
- space-group type = I4/mcm
- M_tot (μB/f.u.) = 0.7
- total DFT energy (no corrections) (eV/cell) = -100.85
- D(E_F) (states/eV/f.u.) = 5.64

=====

Crystalline Ti12MnBi6 at its relaxed geometry. Source: the Alexandria database, functional PBE.

abc: 7.6324 7.6324 7.6324
angles: 101.62 101.62 101.62
Fractional positions:
Ti: 0.7699 0.6000 0.4999
Ti: 0.4999 0.7699 0.6000
Ti: 0.6000 0.4999 0.7699
Ti: 0.2301 0.4000 0.5001
Ti: 0.5001 0.2301 0.4000
Ti: 0.4000 0.5001 0.2301
Ti: 0.0521 0.0227 0.3076
Ti: 0.9773 0.6924 0.9479
Ti: 0.6924 0.9479 0.9773
Ti: 0.9479 0.9773 0.6924
Ti: 0.0227 0.3076 0.0521
Ti: 0.3076 0.0521 0.0227
Mn: 0.0000 0.0000 0.0000
Bi: 0.6585 0.8966 0.3293
Bi: 0.6707 0.3415 0.1034
Bi: 0.1034 0.6707 0.3415
Bi: 0.3415 0.1034 0.6707
Bi: 0.3293 0.6585 0.8966
Bi: 0.8966 0.3293 0.6585

Summary:
- formation energy from the elements (eV/atom) = 0.099
- space-group type = R-3
- M_tot (μB/f.u.) = 4.2
- total DFT energy (no corrections) (eV/cell) = -125.31
- D(E_F) (states/eV/f.u.) = 24.92